Computed, not measured: an optimized crystal structure of Mn2AgHg at the GGA-PBEsol level of DFT.

Unit cell a=3.077 b=3.077 c=6.547 alpha=90.00 beta=90.00 gamma=90.00
Each line ends with the local moment (μB).
Sites, in units of the cell vectors:
Mn: 0.000 0.000 0.046  -2.93
Mn: 0.500 0.500 0.214  3.02
Ag: 0.000 0.000 0.472  0.02
Hg: 0.500 0.500 0.769  0.01

Properties
As for the density of states at the Fermi level: 2.26 states/eV per cell. The calculation puts the formation enthalpy at 0 K at 0.276 eV/atom.

---

Computed, not measured: an optimized crystal structure of Mn2AgHg at the GGA-PBEsol level of DFT.

Unit cell a=3.973 b=3.973 c=4.961 alpha=113.61 beta=113.61 gamma=90.00
Each line ends with the local moment (μB).
Sites, in units of the cell vectors:
Ag: 0.500 0.500 0.000  0.03
Hg: 0.250 0.750 0.500  -0.04
Mn: 0.750 0.250 0.500  3.62
Mn: 0.000 0.000 0.000  3.65

Properties
As for the density of states at the Fermi level: 3.59 states/eV per cell. The calculation puts the formation enthalpy at 0 K at 0.432 eV/atom.

---

Computed, not measured: an optimized crystal structure of MnAgHgP2 at the GGA-PBEsol level of DFT.

Unit cell a=4.874 b=4.874 c=4.960 alpha=90.00 beta=90.00 gamma=90.00
Each line ends with the local moment (μB).
Sites, in units of the cell vectors:
P: 0.000 0.500 0.000  -0.01
Hg: 0.000 0.000 0.000  -0.03
Mn: 0.000 0.000 0.500  4.04
Ag: 0.500 0.500 0.500  -0.03
P: 0.500 0.000 0.000  -0.01

Properties
As for the density of states at the Fermi level: 3.14 states/eV per cell. The calculation puts the formation enthalpy at 0 K at 1.402 eV/atom.

---

Computed, not measured: an optimized crystal structure of ZrMnAg2Hg at the GGA-PBEsol level of DFT.

Unit cell a=4.883 b=4.955 c=4.955 alpha=90.00 beta=90.00 gamma=90.00
Each line ends with the local moment (μB).
Sites, in units of the cell vectors:
Zr: 0.500 0.500 0.500  -1.00
Ag: 0.000 0.500 0.000  -0.01
Ag: 0.000 0.000 0.500  -0.01
Mn: 0.500 0.000 0.000  3.91
Hg: 0.000 0.000 0.000  0.03

Properties
As for the density of states at the Fermi level: 6.30 states/eV per cell. The calculation puts the formation enthalpy at 0 K at 1.128 eV/atom.

---

Computed, not measured: an optimized crystal structure of AgHg3Mo at the GGA-PBEsol level of DFT.

Unit cell a=5.225 b=5.225 c=5.225 alpha=90.00 beta=90.00 gamma=90.00
Each line ends with the local moment (μB).
Sites, in units of the cell vectors:
Hg: 0.000 0.000 0.500  0.05
Hg: 0.000 0.500 0.000  0.05
Ag: 0.500 0.500 0.500  -0.04
Mo: 0.000 0.000 0.000  1.45
Hg: 0.500 0.000 0.000  0.05

Properties
As for the density of states at the Fermi level: 3.61 states/eV per cell. The calculation puts the formation enthalpy at 0 K at 1.137 eV/atom.

---

Computed, not measured: an optimized crystal structure of AgHgSeN2 at the GGA-PBEsol level of DFT.

Unit cell a=4.129 b=4.129 c=5.695 alpha=90.00 beta=90.00 gamma=90.00
Each line ends with the local moment (μB).
Sites, in units of the cell vectors:
Hg: 0.000 0.000 0.000  0.08
N: 0.000 0.500 0.000  1.05
Ag: 0.500 0.500 0.500  0.03
Se: 0.000 0.000 0.500  0.19
N: 0.500 0.000 0.000  1.05

Properties
As for the density of states at the Fermi level: 2.66 states/eV per cell. As for the uncorrected formation energy: 9.16 eV per formula unit.

---

Computed, not measured: an optimized crystal structure of NaAgHg2 at the GGA-PBEsol level of DFT.

Unit cell a=4.865 b=4.865 c=4.865 alpha=60.00 beta=60.00 gamma=60.00
Sites, in units of the cell vectors:
Hg: 0.750 0.750 0.750
Ag: 0.500 0.500 0.500
Na: 0.000 0.000 0.000
Hg: 0.250 0.250 0.250

Properties
As for the density of states at the Fermi level: 1.47 states/eV per cell. The calculation puts the formation enthalpy at 0 K at -0.129 eV/atom.

---

Computed, not measured: an optimized crystal structure of NaAg2Hg2 at the GGA-PBEsol level of DFT.

Unit cell a=3.964 b=3.964 c=7.447 alpha=105.44 beta=105.44 gamma=90.00
Sites, in units of the cell vectors:
Hg: 0.398 0.398 0.796
Na: 0.000 0.000 0.000
Ag: 0.750 0.250 0.500
Hg: 0.602 0.602 0.204
Ag: 0.250 0.750 0.500

Properties
As for the density of states at the Fermi level: 1.41 states/eV per cell. The excess energy over the best structure of this formula in the dataset is 0.000 eV per atom. The calculation puts the formation enthalpy at 0 K at -0.047 eV/atom.

---

Computed, not measured: an optimized crystal structure of NaAgHg2S at the GGA-PBEsol level of DFT.

Unit cell a=5.116 b=5.116 c=5.409 alpha=90.00 beta=90.00 gamma=90.00
Each line ends with the local moment (μB).
Sites, in units of the cell vectors:
S: 0.500 0.500 0.500  0.30
Hg: 0.000 0.500 0.000  0.02
Ag: 0.000 0.000 0.000  0.00
Hg: 0.500 0.000 0.000  0.02
Na: 0.000 0.000 0.500  0.00

Properties
As for the density of states at the Fermi level: 3.23 states/eV per cell. As for the uncorrected formation energy: 1.50 eV per formula unit.

---

Computed, not measured: an optimized crystal structure of NbAgHg2Os at the GGA-PBEsol level of DFT.

Unit cell a=4.840 b=4.840 c=5.000 alpha=90.00 beta=90.00 gamma=90.00
Each line ends with the local moment (μB).
Sites, in units of the cell vectors:
Os: 0.500 0.500 0.500  2.04
Hg: 0.500 0.000 0.000  0.01
Nb: 0.000 0.000 0.500  -0.48
Ag: 0.000 0.000 0.000  -0.02
Hg: 0.000 0.500 0.000  0.01

Properties
As for the density of states at the Fermi level: 4.64 states/eV per cell. The calculation puts the formation enthalpy at 0 K at 2.010 eV/atom.

---

Computed, not measured: an optimized crystal structure of Nd2AgHg at the GGA-PBEsol level of DFT.

Unit cell a=5.262 b=5.262 c=5.262 alpha=60.00 beta=60.00 gamma=60.00
Sites, in units of the cell vectors:
Nd: 0.750 0.750 0.750
Ag: 0.500 0.500 0.500
Nd: 0.250 0.250 0.250
Hg: 0.000 0.000 0.000

Properties
As for the density of states at the Fermi level: 4.35 states/eV per cell. The calculation puts the formation enthalpy at 0 K at -0.396 eV/atom.

---

Computed, not measured: an optimized crystal structure of NiAgHg2 at the GGA-PBEsol level of DFT.

Unit cell a=3.074 b=4.621 c=4.740 alpha=90.00 beta=90.00 gamma=90.00
Sites, in units of the cell vectors:
Hg: 0.000 0.500 0.667
Hg: 0.000 0.000 0.078
Ag: 0.500 0.500 0.182
Ni: 0.500 0.000 0.573

Properties
As for the density of states at the Fermi level: 2.00 states/eV per cell. The calculation puts the formation enthalpy at 0 K at 0.150 eV/atom.

---

Computed, not measured: an optimized crystal structure of NiAg2Hg at the GGA-PBEsol level of DFT.

Unit cell a=2.930 b=2.930 c=7.394 alpha=90.00 beta=90.00 gamma=90.00
Sites, in units of the cell vectors:
Hg: 0.000 0.000 0.527
Ag: 0.500 0.500 0.240
Ni: 0.500 0.500 0.757
Ag: 0.000 0.000 0.977

Properties
As for the density of states at the Fermi level: 1.42 states/eV per cell. The calculation puts the formation enthalpy at 0 K at 0.111 eV/atom.

---

Computed, not measured: an optimized crystal structure of NiAg2Hg at the GGA-PBEsol level of DFT.

Unit cell a=2.956 b=4.571 c=5.439 alpha=114.85 beta=105.77 gamma=90.00
Sites, in units of the cell vectors:
Ni: 0.000 0.500 0.000
Ag: 0.269 0.269 0.538
Ag: 0.731 0.731 0.462
Hg: 0.500 0.000 0.000

Properties
As for the density of states at the Fermi level: 1.88 states/eV per cell. The calculation puts the formation enthalpy at 0 K at 0.134 eV/atom.

---

Computed, not measured: an optimized crystal structure of ZnNiAgHg2 at the GGA-PBEsol level of DFT.

Unit cell a=4.842 b=4.842 c=4.827 alpha=90.00 beta=90.00 gamma=90.00
Sites, in units of the cell vectors:
Zn: 0.500 0.500 0.500
Hg: 0.500 0.000 0.000
Hg: 0.000 0.500 0.000
Ag: 0.000 0.000 0.500
Ni: 0.000 0.000 0.000

Properties
As for the density of states at the Fermi level: 2.16 states/eV per cell. The calculation puts the formation enthalpy at 0 K at 0.532 eV/atom.

---

Computed, not measured: an optimized crystal structure of AgHgO2 at the GGA-PBEsol level of DFT.

Unit cell a=3.632 b=5.701 c=5.998 alpha=108.60 beta=90.00 gamma=90.00
Sites, in units of the cell vectors:
Ag: 0.500 0.500 0.000
O: 0.817 0.284 0.707
O: 0.317 0.716 0.793
Hg: 0.000 0.000 0.000
O: 0.183 0.716 0.293
Hg: 0.500 0.000 0.500
Ag: 0.000 0.500 0.500
O: 0.683 0.284 0.207

Properties
As for the density of states at the Fermi level: 4.40 states/eV per cell. As for the uncorrected formation energy: -0.69 eV per formula unit.

---

Computed, not measured: an optimized crystal structure of Ag2HgO2 at the GGA-PBEsol level of DFT.

Unit cell a=6.110 b=6.110 c=8.375 alpha=90.00 beta=90.00 gamma=90.00
Sites, in units of the cell vectors:
O: 0.115 0.251 0.736
Ag: 0.500 0.744 0.628
Ag: 0.256 0.500 0.872
Hg: 0.707 0.293 0.750
O: 0.249 0.615 0.486
Ag: 0.000 0.756 0.622
Ag: 0.500 0.256 0.128
O: 0.885 0.749 0.236
O: 0.385 0.751 0.014
O: 0.615 0.249 0.514
Hg: 0.293 0.707 0.250
O: 0.749 0.885 0.764
Hg: 0.793 0.793 0.000
Ag: 0.244 0.000 0.878
Hg: 0.207 0.207 0.500
O: 0.751 0.385 0.986
Ag: 0.756 0.000 0.378
O: 0.251 0.115 0.264
Ag: 0.000 0.244 0.122
Ag: 0.744 0.500 0.372

Properties
As for the uncorrected formation energy: -0.85 eV per formula unit.

---

Computed, not measured: an optimized crystal structure of AgHgO2 at the GGA-PBEsol level of DFT.

Unit cell a=3.762 b=5.484 c=5.795 alpha=94.01 beta=93.18 gamma=91.16
Sites, in units of the cell vectors:
O: 0.123 0.291 0.794
Hg: 0.500 0.000 0.500
O: 0.877 0.709 0.206
O: 0.790 0.784 0.711
Hg: 0.500 0.500 0.000
O: 0.210 0.216 0.289
Ag: 0.000 0.000 0.000
Ag: 0.000 0.500 0.500

Properties
As for the density of states at the Fermi level: 1.82 states/eV per cell. As for the uncorrected formation energy: -0.70 eV per formula unit.

---

Computed, not measured: an optimized crystal structure of AgHg2PO4 at the GGA-PBEsol level of DFT.

Unit cell a=6.203 b=8.633 c=9.269 alpha=90.00 beta=90.00 gamma=90.00
Sites, in units of the cell vectors:
Ag: 0.000 0.029 0.352
O: 0.289 0.445 0.701
Hg: 0.213 0.745 0.968
O: 0.500 0.165 0.907
P: 0.500 0.961 0.215
Hg: 0.213 0.755 0.468
P: 0.500 0.461 0.285
Ag: 0.000 0.971 0.648
O: 0.500 0.835 0.093
O: 0.711 0.445 0.701
Hg: 0.787 0.745 0.968
O: 0.500 0.617 0.867
Ag: 0.000 0.471 0.852
O: 0.500 0.665 0.593
O: 0.500 0.883 0.367
O: 0.711 0.555 0.299
P: 0.500 0.539 0.715
O: 0.500 0.383 0.133
Hg: 0.787 0.255 0.032
O: 0.289 0.055 0.201
O: 0.289 0.945 0.799
O: 0.500 0.335 0.407
Hg: 0.787 0.755 0.468
O: 0.500 0.117 0.633
Hg: 0.213 0.255 0.032
Hg: 0.213 0.245 0.532
O: 0.711 0.055 0.201
Ag: 0.000 0.529 0.148
O: 0.711 0.945 0.799
O: 0.289 0.555 0.299
P: 0.500 0.039 0.785
Hg: 0.787 0.245 0.532

Properties
As for the uncorrected formation energy: -9.33 eV per formula unit.

---

Computed, not measured: an optimized crystal structure of AgHg3SbO6 at the GGA-PBEsol level of DFT.

Unit cell a=6.941 b=6.941 c=6.941 alpha=87.81 beta=87.81 gamma=87.81
Sites, in units of the cell vectors:
O: 0.010 0.710 0.993
O: 0.007 0.990 0.290
Sb: 0.000 0.000 0.000
Ag: 0.250 0.250 0.250
O: 0.790 0.490 0.507
O: 0.493 0.210 0.510
O: 0.993 0.010 0.710
Hg: 0.912 0.588 0.250
O: 0.710 0.993 0.010
O: 0.290 0.007 0.990
O: 0.990 0.290 0.007
O: 0.210 0.510 0.493
O: 0.490 0.507 0.790
Hg: 0.250 0.912 0.588
Hg: 0.588 0.250 0.912
Hg: 0.088 0.412 0.750
Ag: 0.750 0.750 0.750
Sb: 0.500 0.500 0.500
O: 0.510 0.493 0.210
Hg: 0.750 0.088 0.412
O: 0.507 0.790 0.490
Hg: 0.412 0.750 0.088

Properties
As for the uncorrected formation energy: -6.86 eV per formula unit.